# HfSb2AsP | the Alexandria database | meta-GGA SCAN | single point on PBEsol structure
# M_tot (μB/f.u.): 0.000
# E (eV for the cell shown): -163.47
# ΔE_f (raw) (kJ/mol of formula units): 416.0
# V (Å³/f.u.): 122.8
data_HfSb2AsP
_chemical_formula_sum 'Hf1 Sb2 As1 P1'
_symmetry_space_group_name_H-M 'P 1'
_symmetry_Int_Tables_number 1
_symmetry_space_group_name_Hall 'P 1'
_cell_length_a 4.589
_cell_length_b 5.173
_cell_length_c 5.173
_cell_angle_alpha 90.00
_cell_angle_beta 90.00
_cell_angle_gamma 90.00
loop_
_atom_site_label
_atom_site_fract_x
_atom_site_fract_y
_atom_site_fract_z
Sb1 0.000 0.000 0.500
Sb2 0.000 0.500 0.000
As1 0.000 0.000 0.000
P1 0.500 0.000 0.000
Hf1 0.500 0.500 0.500

# HfAs2PdSe | the Alexandria database | meta-GGA SCAN | single point on PBEsol structure
# Distance to the lowest polymorph of the same formula (eV per atom): 0.000
# M_tot (μB/f.u.): 0.000
# E (eV for the cell shown): -154.21
# ΔE_f (raw) (kJ/mol of formula units): 163.3
# V (Å³/f.u.): 126.7
data_HfAs2PdSe
_chemical_formula_sum 'Hf1 As2 Pd1 Se1'
_symmetry_space_group_name_H-M 'P 1'
_symmetry_Int_Tables_number 1
_symmetry_space_group_name_Hall 'P 1'
_cell_length_a 4.975
_cell_length_b 5.046
_cell_length_c 5.046
_cell_angle_alpha 90.00
_cell_angle_beta 90.00
_cell_angle_gamma 90.00
loop_
_atom_site_label
_atom_site_fract_x
_atom_site_fract_y
_atom_site_fract_z
Hf1 0.000 0.000 0.000
As1 0.000 0.000 0.500
As2 0.000 0.500 0.000
Se1 0.500 0.000 0.000
Pd1 0.500 0.500 0.500

# HfAs2PdSe | the Alexandria database | meta-GGA SCAN | single point on PBEsol structure
# Distance to the lowest polymorph of the same formula (eV per atom): 0.079
# M_tot (μB/f.u.): 0.000
# E (eV for the cell shown): -153.82
# ΔE_f (raw) (kJ/mol of formula units): 201.2
# V (Å³/f.u.): 107.4
data_HfAs2PdSe
_chemical_formula_sum 'Hf1 As2 Pd1 Se1'
_symmetry_space_group_name_H-M 'P 1'
_symmetry_Int_Tables_number 1
_symmetry_space_group_name_Hall 'P 1'
_cell_length_a 4.703
_cell_length_b 4.703
_cell_length_c 4.855
_cell_angle_alpha 90.00
_cell_angle_beta 90.00
_cell_angle_gamma 90.00
loop_
_atom_site_label
_atom_site_fract_x
_atom_site_fract_y
_atom_site_fract_z
As1 0.500 0.000 0.000
As2 0.000 0.500 0.000
Se1 0.000 0.000 0.500
Pd1 0.000 0.000 0.000
Hf1 0.500 0.500 0.500

# RbHf3As | the Alexandria database | meta-GGA SCAN | single point on PBEsol structure
# M_tot (μB/f.u.): 0.000
# E (eV for the cell shown): -225.19
# V (Å³/f.u.): 133.6
data_RbHf3As
_chemical_formula_sum 'Rb1 Hf3 As1'
_symmetry_space_group_name_H-M 'P 1'
_symmetry_Int_Tables_number 1
_symmetry_space_group_name_Hall 'P 1'
_cell_length_a 5.112
_cell_length_b 5.112
_cell_length_c 5.112
_cell_angle_alpha 90.00
_cell_angle_beta 90.00
_cell_angle_gamma 90.00
loop_
_atom_site_label
_atom_site_fract_x
_atom_site_fract_y
_atom_site_fract_z
Rb1 0.500 0.500 0.500
Hf1 0.500 0.000 0.000
Hf2 0.000 0.500 0.000
Hf3 0.000 0.000 0.500
As1 0.000 0.000 0.000

# RbHfAs2 | the Alexandria database | meta-GGA SCAN | single point on PBEsol structure
# M_tot (μB/f.u.): 0.000
# E (eV for the cell shown): -123.58
# V (Å³/f.u.): 88.4
data_RbHfAs2
_chemical_formula_sum 'Rb1 Hf1 As2'
_symmetry_space_group_name_H-M 'P 1'
_symmetry_Int_Tables_number 1
_symmetry_space_group_name_Hall 'P 1'
_cell_length_a 5.000
_cell_length_b 5.000
_cell_length_c 5.000
_cell_angle_alpha 60.00
_cell_angle_beta 60.00
_cell_angle_gamma 60.00
loop_
_atom_site_label
_atom_site_fract_x
_atom_site_fract_y
_atom_site_fract_z
As1 0.250 0.250 0.250
As2 0.750 0.750 0.750
Hf1 0.500 0.500 0.500
Rb1 0.000 0.000 0.000

# RbHfAs2Se | the Alexandria database | meta-GGA SCAN | single point on PBEsol structure
# M_tot (μB/f.u.): 0.000
# E (eV for the cell shown): -135.13
# ΔE_f (raw) (kJ/mol of formula units): 843.7
# V (Å³/f.u.): 141.4
data_RbHfAs2Se
_chemical_formula_sum 'Rb1 Hf1 As2 Se1'
_symmetry_space_group_name_H-M 'P 1'
_symmetry_Int_Tables_number 1
_symmetry_space_group_name_Hall 'P 1'
_cell_length_a 5.142
_cell_length_b 5.142
_cell_length_c 5.349
_cell_angle_alpha 90.00
_cell_angle_beta 90.00
_cell_angle_gamma 90.00
loop_
_atom_site_label
_atom_site_fract_x
_atom_site_fract_y
_atom_site_fract_z
Se1 0.000 0.000 0.500
Hf1 0.500 0.500 0.500
As1 0.000 0.500 0.000
As2 0.500 0.000 0.000
Rb1 0.000 0.000 0.000

# SrHfAs2Rh | the Alexandria database | meta-GGA SCAN | single point on PBEsol structure
# M_tot (μB/f.u.): 1.550
# E (eV for the cell shown): -159.26
# V (Å³/f.u.): 119.7
data_SrHfAs2Rh
_chemical_formula_sum 'Sr1 Hf1 As2 Rh1'
_symmetry_space_group_name_H-M 'P 1'
_symmetry_Int_Tables_number 1
_symmetry_space_group_name_Hall 'P 1'
_cell_length_a 4.774
_cell_length_b 5.009
_cell_length_c 5.009
_cell_angle_alpha 90.00
_cell_angle_beta 90.00
_cell_angle_gamma 90.00
loop_
_atom_site_label
_atom_site_fract_x
_atom_site_fract_y
_atom_site_fract_z
As1 0.000 0.000 0.500
As2 0.000 0.500 0.000
Rh1 0.000 0.000 0.000
Sr1 0.500 0.500 0.500
Hf1 0.500 0.000 0.000

# Hf3AsRu | the Alexandria database | meta-GGA SCAN | single point on PBEsol structure
# M_tot (μB/f.u.): 0.000
# E (eV for the cell shown): -242.15
# V (Å³/f.u.): 115.9
data_Hf3AsRu
_chemical_formula_sum 'Hf3 As1 Ru1'
_symmetry_space_group_name_H-M 'P 1'
_symmetry_Int_Tables_number 1
_symmetry_space_group_name_Hall 'P 1'
_cell_length_a 4.875
_cell_length_b 4.875
_cell_length_c 4.875
_cell_angle_alpha 90.00
_cell_angle_beta 90.00
_cell_angle_gamma 90.00
loop_
_atom_site_label
_atom_site_fract_x
_atom_site_fract_y
_atom_site_fract_z
Hf1 0.000 0.500 0.000
Hf2 0.000 0.000 0.500
Hf3 0.500 0.000 0.000
Ru1 0.000 0.000 0.000
As1 0.500 0.500 0.500

# HfAs2RuSe | the Alexandria database | meta-GGA SCAN | single point on PBEsol structure
# M_tot (μB/f.u.): 2.401
# E (eV for the cell shown): -154.33
# ΔE_f (raw) (kJ/mol of formula units): 349.9
# V (Å³/f.u.): 125.2
data_HfAs2RuSe
_chemical_formula_sum 'Hf1 As2 Ru1 Se1'
_symmetry_space_group_name_H-M 'P 1'
_symmetry_Int_Tables_number 1
_symmetry_space_group_name_Hall 'P 1'
_cell_length_a 4.961
_cell_length_b 5.024
_cell_length_c 5.024
_cell_angle_alpha 90.00
_cell_angle_beta 90.00
_cell_angle_gamma 90.00
loop_
_atom_site_label
_atom_site_fract_x
_atom_site_fract_y
_atom_site_fract_z
Ru1 0.500 0.500 0.500
As1 0.000 0.000 0.500
As2 0.000 0.500 0.000
Se1 0.500 0.000 0.000
Hf1 0.000 0.000 0.000

# HfAsSe2S | the Alexandria database | meta-GGA SCAN | single point on PBEsol structure
# M_tot (μB/f.u.): 0.000
# E (eV for the cell shown): -130.47
# ΔE_f (raw) (kJ/mol of formula units): 210.6
# V (Å³/f.u.): 102.2
data_HfAsSe2S
_chemical_formula_sum 'Hf1 As1 Se2 S1'
_symmetry_space_group_name_H-M 'P 1'
_symmetry_Int_Tables_number 1
_symmetry_space_group_name_Hall 'P 1'
_cell_length_a 4.717
_cell_length_b 4.717
_cell_length_c 4.595
_cell_angle_alpha 90.00
_cell_angle_beta 90.00
_cell_angle_gamma 90.00
loop_
_atom_site_label
_atom_site_fract_x
_atom_site_fract_y
_atom_site_fract_z
S1 0.000 0.000 0.000
Hf1 0.500 0.500 0.500
As1 0.000 0.000 0.500
Se1 0.000 0.500 0.000
Se2 0.500 0.000 0.000

# HfSbTe2As | the Alexandria database | meta-GGA SCAN | single point on PBEsol structure
# M_tot (μB/f.u.): 1.442
# E (eV for the cell shown): -192.45
# ΔE_f (raw) (kJ/mol of formula units): 210.4
# V (Å³/f.u.): 160.3
data_HfSbTe2As
_chemical_formula_sum 'Hf1 Sb1 Te2 As1'
_symmetry_space_group_name_H-M 'P 1'
_symmetry_Int_Tables_number 1
_symmetry_space_group_name_Hall 'P 1'
_cell_length_a 5.378
_cell_length_b 5.378
_cell_length_c 5.542
_cell_angle_alpha 90.00
_cell_angle_beta 90.00
_cell_angle_gamma 90.00
loop_
_atom_site_label
_atom_site_fract_x
_atom_site_fract_y
_atom_site_fract_z
Te1 0.000 0.500 0.000
Te2 0.500 0.000 0.000
As1 0.500 0.500 0.500
Sb1 0.000 0.000 0.500
Hf1 0.000 0.000 0.000

# HfSbAsW2 | the Alexandria database | meta-GGA SCAN | single point on PBEsol structure
# M_tot (μB/f.u.): 0.000
# E (eV for the cell shown): -252.25
# ΔE_f (raw) (kJ/mol of formula units): 699.6
# V (Å³/f.u.): 108.0
data_HfSbAsW2
_chemical_formula_sum 'Hf1 Sb1 As1 W2'
_symmetry_space_group_name_H-M 'P 1'
_symmetry_Int_Tables_number 1
_symmetry_space_group_name_Hall 'P 1'
_cell_length_a 4.570
_cell_length_b 4.570
_cell_length_c 5.169
_cell_angle_alpha 90.00
_cell_angle_beta 90.00
_cell_angle_gamma 90.00
loop_
_atom_site_label
_atom_site_fract_x
_atom_site_fract_y
_atom_site_fract_z
Sb1 0.000 0.000 0.500
Hf1 0.500 0.500 0.500
W1 0.500 0.000 0.000
W2 0.000 0.500 0.000
As1 0.000 0.000 0.000

# HfSc2As2 | the Alexandria database | meta-GGA SCAN | single point on PBEsol structure
# M_tot (μB/f.u.): 0.001
# E (eV for the cell shown): -274.41
# V (Å³/f.u.): 93.4
data_HfSc2As2
_chemical_formula_sum 'Hf2 Sc4 As4'
_symmetry_space_group_name_H-M 'P 1'
_symmetry_Int_Tables_number 1
_symmetry_space_group_name_Hall 'P 1'
_cell_length_a 3.669
_cell_length_b 7.134
_cell_length_c 7.134
_cell_angle_alpha 90.00
_cell_angle_beta 90.00
_cell_angle_gamma 90.00
loop_
_atom_site_label
_atom_site_fract_x
_atom_site_fract_y
_atom_site_fract_z
Sc1 0.500 0.842 0.342
Sc2 0.500 0.158 0.658
Sc3 0.500 0.342 0.158
Sc4 0.500 0.658 0.842
As1 0.000 0.646 0.146
As2 0.000 0.146 0.354
As3 0.000 0.854 0.646
As4 0.000 0.354 0.854
Hf1 0.000 0.000 0.000
Hf2 0.000 0.500 0.500

# HfSc2TcAs | the Alexandria database | meta-GGA SCAN | single point on PBEsol structure
# M_tot (μB/f.u.): 0.756
# E (eV for the cell shown): -144.82
# V (Å³/f.u.): 112.1
data_HfSc2TcAs
_chemical_formula_sum 'Hf1 Sc2 Tc1 As1'
_symmetry_space_group_name_H-M 'P 1'
_symmetry_Int_Tables_number 1
_symmetry_space_group_name_Hall 'P 1'
_cell_length_a 4.781
_cell_length_b 4.781
_cell_length_c 4.905
_cell_angle_alpha 90.00
_cell_angle_beta 90.00
_cell_angle_gamma 90.00
loop_
_atom_site_label
_atom_site_fract_x
_atom_site_fract_y
_atom_site_fract_z
Sc1 0.500 0.000 0.000
Sc2 0.000 0.500 0.000
Hf1 0.000 0.000 0.500
As1 0.000 0.000 0.000
Tc1 0.500 0.500 0.500